Record 1
Li2ScI5 after structural relaxation. Source: Alexandria via LeMat-Bulk, functional PBE.

a b c (Å): 7.6049 7.6049 6.9639
angles (deg): 116.01 116.01 78.91
With the nearest neighbours (Å) after each atom.
Fractional coordinates of all 8 atoms:
Li 0.2150 0.7850 0.0000  5 I 2.89-3.05
Li 0.7850 0.2150 0.0000  5 I 2.89-3.05
Sc 0.7946 0.7946 0.1986  5 I 2.79-2.86
I 0.0668 0.4981 0.0947  1 Sc 2.82, 2 Li 2.99-3.05
I 0.0761 0.0761 0.3404  1 Sc 2.86, 2 Li 2.89
I 0.4981 0.0668 0.0947  1 Sc 2.82, 2 Li 2.99-3.05
I 0.5001 0.5001 0.8765  1 Sc 2.86, 2 Li 2.89
I 0.8299 0.8299 0.6306  1 Sc 2.79, 2 Li 3.01

## Properties
relative energy among the computed polymorphs: 0.010 eV per atom
uncorrected formation energy: -111.4 kJ/mol of atoms
DOS(E_F): 0.0000 states/eV per atom

=====

Record 2
Li5Sc3I12 after structural relaxation. Source: Alexandria via LeMat-Bulk, functional PBE.

a b c (Å): 14.9934 14.9934 14.9934
angles (deg): 109.47 109.47 109.47
With the nearest neighbours (Å) after each atom.
Fractional coordinates of all 80 atoms:
Li 0.0000 0.0000 0.0000  6 I 2.93
Li 0.0000 0.0000 0.5000  6 I 2.93
Li 0.0000 0.5000 0.0000  6 I 2.93
Li 0.0000 0.5000 0.5000  6 I 2.93
Li 0.1250 0.7500 0.8750  4 I 2.66
Li 0.1250 0.8750 0.2500  4 I 2.66
Li 0.2500 0.1250 0.8750  4 I 2.66
Li 0.2500 0.6250 0.3750  4 I 2.66
Li 0.3750 0.2500 0.6250  4 I 2.66
Li 0.3750 0.6250 0.7500  4 I 2.66
Li 0.5000 0.0000 0.0000  6 I 2.93
Li 0.5000 0.0000 0.5000  6 I 2.93
Li 0.5000 0.5000 0.0000  6 I 2.93
Li 0.5000 0.5000 0.5000  6 I 2.93
Li 0.6250 0.3750 0.2500  4 I 2.66
Li 0.6250 0.7500 0.3750  4 I 2.66
Li 0.7500 0.3750 0.6250  4 I 2.66
Li 0.7500 0.8750 0.1250  4 I 2.66
Li 0.8750 0.1250 0.7500  4 I 2.66
Li 0.8750 0.2500 0.1250  4 I 2.66
Sc 0.1250 0.2500 0.3750  8 I 3.24-3.32
Sc 0.1250 0.3750 0.7500  8 I 3.24-3.32
Sc 0.2500 0.3750 0.1250  8 I 3.24-3.32
Sc 0.2500 0.8750 0.6250  8 I 3.24-3.32
Sc 0.3750 0.1250 0.2500  8 I 3.24-3.32
Sc 0.3750 0.7500 0.1250  8 I 3.24-3.32
Sc 0.6250 0.2500 0.8750  8 I 3.24-3.32
Sc 0.6250 0.8750 0.7500  8 I 3.24-3.32
Sc 0.7500 0.1250 0.3750  8 I 3.24-3.32
Sc 0.7500 0.6250 0.8750  8 I 3.24-3.32
Sc 0.8750 0.6250 0.2500  8 I 3.24-3.32
Sc 0.8750 0.7500 0.6250  8 I 3.24-3.32
I 0.0404 0.2199 0.1267  2 Li 2.66-2.93
I 0.0404 0.3205 0.9137  2 Li 2.66-2.93
I 0.0863 0.6267 0.4068  2 Li 2.66-2.93
I 0.0863 0.9596 0.6795  2 Li 2.66-2.93
I 0.0932 0.7199 0.6795  2 Li 2.66-2.93
I 0.0932 0.8733 0.4137  2 Li 2.66-2.93
I 0.1267 0.0404 0.2199  2 Li 2.66-2.93
I 0.1267 0.5863 0.9068  2 Li 2.66-2.93
I 0.1795 0.2199 0.5932  2 Li 2.66-2.93
I 0.1795 0.4596 0.5863  2 Li 2.66-2.93
I 0.2199 0.1267 0.0404  2 Li 2.66-2.93
I 0.2199 0.5932 0.1795  2 Li 2.66-2.93
I 0.2801 0.3205 0.9068  2 Li 2.66-2.93
I 0.2801 0.4596 0.3733  2 Li 2.66-2.93
I 0.3205 0.9068 0.2801  2 Li 2.66-2.93
I 0.3205 0.9137 0.0404  2 Li 2.66-2.93
I 0.3733 0.2801 0.4596  2 Li 2.66-2.93
I 0.3733 0.5932 0.9137  2 Li 2.66-2.93
I 0.4068 0.0863 0.6267  2 Li 2.66-2.93
I 0.4068 0.8205 0.7801  2 Li 2.66-2.93
I 0.4137 0.0932 0.8733  2 Li 2.66-2.93
I 0.4137 0.8205 0.5404  2 Li 2.66-2.93
I 0.4596 0.3733 0.2801  2 Li 2.66-2.93
I 0.4596 0.5863 0.1795  2 Li 2.66-2.93
I 0.5404 0.4137 0.8205  2 Li 2.66-2.93
I 0.5404 0.6267 0.7199  2 Li 2.66-2.93
I 0.5863 0.1795 0.4596  2 Li 2.66-2.93
I 0.5863 0.9068 0.1267  2 Li 2.66-2.93
I 0.5932 0.1795 0.2199  2 Li 2.66-2.93
I 0.5932 0.9137 0.3733  2 Li 2.66-2.93
I 0.6267 0.4068 0.0863  2 Li 2.66-2.93
I 0.6267 0.7199 0.5404  2 Li 2.66-2.93
I 0.6795 0.0863 0.9596  2 Li 2.66-2.93
I 0.6795 0.0932 0.7199  2 Li 2.66-2.93
I 0.7199 0.5404 0.6267  2 Li 2.66-2.93
I 0.7199 0.6795 0.0932  2 Li 2.66-2.93
I 0.7801 0.4068 0.8205  2 Li 2.66-2.93
I 0.7801 0.8733 0.9596  2 Li 2.66-2.93
I 0.8205 0.5404 0.4137  2 Li 2.66-2.93
I 0.8205 0.7801 0.4068  2 Li 2.66-2.93
I 0.8733 0.4137 0.0932  2 Li 2.66-2.93
I 0.8733 0.9596 0.7801  2 Li 2.66-2.93
I 0.9068 0.1267 0.5863  2 Li 2.66-2.93
I 0.9068 0.2801 0.3205  2 Li 2.66-2.93
I 0.9137 0.0404 0.3205  2 Li 2.66-2.93
I 0.9137 0.3733 0.5932  2 Li 2.66-2.93
I 0.9596 0.6795 0.0863  2 Li 2.66-2.93
I 0.9596 0.7801 0.8733  2 Li 2.66-2.93

## Properties
uncorrected formation energy: -93.4 kJ/mol of atoms
DOS(E_F): 0.6747 states/eV per atom

=====

Record 3
LiSc2I6 after structural relaxation. Source: Alexandria via LeMat-Bulk, functional PBE.

a b c (Å): 9.5390 9.5390 7.4665
angles (deg): 96.86 96.86 81.40
With the nearest neighbours (Å) after each atom.
Fractional coordinates of all 18 atoms:
Li 0.2491 0.7509 0.7500  6 I 2.91-3.09
Li 0.7509 0.2491 0.2500  6 I 2.91-3.09
Sc 0.1542 0.3458 0.5005  6 I 2.91-3.03
Sc 0.3458 0.1542 0.0005  6 I 2.91-3.03
Sc 0.6542 0.8458 0.9995  6 I 2.91-3.03
Sc 0.8458 0.6542 0.4995  6 I 2.91-3.03
I 0.0563 0.2157 0.1437  2 Sc 2.91-3.03, 1 Li 3.07
I 0.1331 0.6327 0.3955  2 Sc 2.91, 1 Li 2.91
I 0.2157 0.0563 0.6437  2 Sc 2.91-3.03, 1 Li 3.07
I 0.2836 0.4437 0.8574  2 Sc 2.91-3.03, 1 Li 3.09
I 0.3673 0.8669 0.1045  2 Sc 2.91, 1 Li 2.91
I 0.4437 0.2836 0.3574  2 Sc 2.91-3.03, 1 Li 3.09
I 0.5563 0.7164 0.6426  2 Sc 2.91-3.03, 1 Li 3.09
I 0.6327 0.1331 0.8955  2 Sc 2.91, 1 Li 2.91
I 0.7164 0.5563 0.1426  2 Sc 2.91-3.03, 1 Li 3.09
I 0.7843 0.9437 0.3563  2 Sc 2.91-3.03, 1 Li 3.07
I 0.8669 0.3673 0.6045  2 Sc 2.91, 1 Li 2.91
I 0.9437 0.7843 0.8563  2 Sc 2.91-3.03, 1 Li 3.07

## Properties
relative energy among the computed polymorphs: 0.023 eV per atom
uncorrected formation energy: -112.3 kJ/mol of atoms
DOS(E_F): 0.1697 states/eV per atom

=====

Record 4
Li2Sc2I7 after structural relaxation. Source: Alexandria via LeMat-Bulk, functional PBE.

a b c (Å): 8.2737 8.2737 7.6257
angles (deg): 90.65 90.65 115.98
With the nearest neighbours (Å) after each atom.
Fractional coordinates of all 11 atoms:
Li 0.2436 0.7564 0.0000  4 I 2.87-2.99
Li 0.7564 0.2436 0.0000  4 I 2.87-2.99
Sc 0.1885 0.1885 0.6119  5 I 2.82-2.88
Sc 0.8115 0.8115 0.3881  5 I 2.82-2.88
I 0.0594 0.4226 0.7782  2 Li 2.87-2.99, 1 Sc 2.88
I 0.1125 0.1125 0.2501  2 Sc 2.82-2.86
I 0.4226 0.0594 0.7782  2 Li 2.87-2.99, 1 Sc 2.88
I 0.5000 0.5000 0.5000  2 Sc 2.88
I 0.5774 0.9406 0.2218  2 Li 2.87-2.99, 1 Sc 2.88
I 0.8875 0.8875 0.7499  2 Sc 2.82-2.86
I 0.9406 0.5774 0.2218  2 Li 2.87-2.99, 1 Sc 2.88

## Properties
uncorrected formation energy: -105.3 kJ/mol of atoms
DOS(E_F): 0.1291 states/eV per atom

=====

Record 5
LiSc2I6 after structural relaxation. Source: Alexandria via LeMat-Bulk, functional PBE.

a b c (Å): 7.9814 7.9814 12.5293
angles (deg): 118.40 118.40 29.96
With the nearest neighbours (Å) after each atom.
Fractional coordinates of all 9 atoms:
Li 0.0000 0.0000 0.0000  6 I 2.95-3.10
Sc 0.3389 0.3389 0.6753  6 I 2.83-3.03
Sc 0.6611 0.6611 0.3247  6 I 2.83-3.03
I 0.0077 0.0077 0.2519  2 Sc 2.93, 1 Li 3.10
I 0.3220 0.3220 0.4239  3 Sc 2.99-3.03
I 0.3429 0.3429 0.9033  1 Sc 2.83, 2 Li 2.95
I 0.6571 0.6571 0.0967  1 Sc 2.83, 2 Li 2.95
I 0.6780 0.6780 0.5761  3 Sc 2.99-3.03
I 0.9923 0.9923 0.7481  2 Sc 2.93, 1 Li 3.10

## Properties
relative energy among the computed polymorphs: 0.000 eV per atom
uncorrected formation energy: -114.6 kJ/mol of atoms
DOS(E_F): 0.4145 states/eV per atom

=====

Record 6
Li2ScI5 after structural relaxation. Source: Alexandria via LeMat-Bulk, functional PBE.

a b c (Å): 9.8138 9.8138 13.1098
angles (deg): 90.00 90.00 145.03
With the nearest neighbours (Å) after each atom.
Fractional coordinates of all 16 atoms:
Li 0.1993 0.8007 0.5489  5 I 2.79-3.04
Li 0.1993 0.8007 0.9511  5 I 2.79-3.04
Li 0.8007 0.1993 0.0489  5 I 2.79-3.04
Li 0.8007 0.1993 0.4511  5 I 2.79-3.04
Sc 0.1934 0.8066 0.2500  6 I 2.77-3.00
Sc 0.8066 0.1934 0.7500  6 I 2.77-3.00
I 0.0911 0.9089 0.0972  1 Sc 2.77, 1 Li 2.79
I 0.0911 0.9089 0.4028  1 Sc 2.77, 1 Li 2.79
I 0.2800 0.7200 0.7500  2 Sc 2.99, 2 Li 3.04
I 0.3109 0.6891 0.0941  3 Li 2.81-3.01, 1 Sc 3.00
I 0.3109 0.6891 0.4059  3 Li 2.81-3.01, 1 Sc 3.00
I 0.6891 0.3109 0.5941  3 Li 2.81-3.01, 1 Sc 3.00
I 0.6891 0.3109 0.9059  3 Li 2.81-3.01, 1 Sc 3.00
I 0.7200 0.2800 0.2500  2 Sc 2.99, 2 Li 3.04
I 0.9089 0.0911 0.5972  1 Sc 2.77, 1 Li 2.79
I 0.9089 0.0911 0.9028  1 Sc 2.77, 1 Li 2.79

## Properties
relative energy among the computed polymorphs: 0.000 eV per atom
uncorrected formation energy: -112.4 kJ/mol of atoms
DOS(E_F): 0.0000 states/eV per atom

=====

> Which of these has the lowest uncorrected formation energy?

number 5

=====

> Among the records above, which one has the highest DOS(E_F)?

Li5Sc3I12

=====

> Among the records above, which one has the highest uncorrected formation energy?

Li5Sc3I12

=====

> Which formula does entry 1 have?

Li2ScI5